The following is a DFT calculation (PBE) of crystalline CrMoAs2 at its relaxed geometry.

Properties
The offset from the most stable computed form comes out at 0.000 eV/atom. As for the crystal system: orthorhombic. As for the energy of formation from the pure elements: -0.20 eV per atom.

Unit cell a=3.400 b=6.331 c=5.901 alpha=90.00 beta=90.00 gamma=90.00
Positions (direct):
Cr 0.000 0.064 0.000
Cr 0.000 0.936 0.500
Mo 0.500 0.441 0.987
Mo 0.500 0.559 0.487
As 0.000 0.312 0.685
As 0.000 0.688 0.185
As 0.500 0.168 0.300
As 0.500 0.832 0.800

The following is a DFT calculation (PBE) of crystalline Ga2SbPC at its relaxed geometry.

Properties
As for the total energy: -2.98 eV/atom. As for the crystal system: tetragonal.

Unit cell a=5.642 b=5.642 c=4.978 alpha=90.00 beta=90.00 gamma=90.00
Positions (direct):
Ga 0.000 0.500 0.000
Ga 0.500 0.000 0.000
Sb 0.000 0.000 0.000
P 0.000 0.000 0.500
C 0.500 0.500 0.500

The following is a DFT calculation (PBE) of crystalline Mg2AgTe2 at its relaxed geometry.

Properties
The offset from the most stable computed form comes out at 0.051 eV/atom. As for the crystal system: tetragonal.

Unit cell a=7.691 b=7.691 c=7.691 alpha=144.95 beta=144.95 gamma=50.41
Positions (direct):
Mg 0.250 0.750 0.500
Mg 0.750 0.250 0.500
Ag 0.000 0.000 0.000
Te 0.370 0.370 0.000
Te 0.630 0.630 0.000

The following is a DFT calculation (PBE) of crystalline Al2RhPb at its relaxed geometry.

Properties
As for the crystal system: tetragonal. As for the energy of formation from the pure elements: -0.30 eV per atom.

Unit cell a=3.051 b=3.051 c=8.230 alpha=90.00 beta=90.00 gamma=90.00
Positions (direct):
Al 0.000 0.000 0.178
Al 0.000 0.000 0.822
Rh 0.500 0.500 0.000
Pb 0.500 0.500 0.500

The following is a DFT calculation (PBE) of crystalline ErAgBi2 at its relaxed geometry.

Properties
As for the crystal system: trigonal. As for the energy of formation from the pure elements: -0.16 eV per atom.

Unit cell a=5.342 b=5.342 c=5.342 alpha=60.23 beta=60.23 gamma=60.23
Positions (direct):
Er 0.000 0.000 0.000
Ag 0.500 0.500 0.500
Bi 0.250 0.250 0.250
Bi 0.750 0.750 0.750

The following is a DFT calculation (PBE) of crystalline SiSb2Te2 at its relaxed geometry.

Properties
The offset from the most stable computed form comes out at 0.120 eV/atom. As for the crystal system: tetragonal.

Unit cell a=6.199 b=6.199 c=6.199 alpha=122.83 beta=122.83 gamma=85.17
Positions (direct):
Si 0.000 0.000 0.000
Sb 0.250 0.750 0.500
Sb 0.750 0.250 0.500
Te 0.322 0.322 0.000
Te 0.678 0.678 0.000

The following is a DFT calculation (PBE) of crystalline Zr2CoPt at its relaxed geometry.

Properties
As for the crystal system: tetragonal. As for the energy of formation from the pure elements: -0.20 eV per atom.

Unit cell a=5.820 b=5.820 c=5.820 alpha=103.74 beta=103.74 gamma=121.66
Positions (direct):
Zr 0.101 0.625 0.976
Zr 0.375 0.351 0.476
Zr 0.649 0.125 0.024
Zr 0.875 0.899 0.524
Co 0.000 0.000 0.000
Co 0.750 0.250 0.500
Pt 0.250 0.750 0.500
Pt 0.500 0.500 0.000

The following is a DFT calculation (PBE) of crystalline Cr2HgOs at its relaxed geometry.

Properties
As for the crystal system: orthorhombic. As for the energy of formation from the pure elements: 0.54 eV per atom.

Unit cell a=5.251 b=5.251 c=5.251 alpha=147.37 beta=128.86 gamma=62.00
Positions (direct):
Cr 0.000 0.000 0.000
Cr 0.780 0.280 0.500
Hg 0.270 0.770 0.500
Os 0.550 0.550 0.000

The following is a DFT calculation (PBE) of crystalline SrNi2Pb2 at its relaxed geometry.

Properties
As for the crystal system: tetragonal. As for the energy of formation from the pure elements: 0.17 eV per atom.

Unit cell a=8.273 b=8.273 c=3.279 alpha=90.00 beta=90.00 gamma=90.00
Positions (direct):
Sr 0.000 0.000 0.000
Sr 0.500 0.500 0.000
Ni 0.144 0.356 0.500
Ni 0.356 0.856 0.500
Ni 0.644 0.144 0.500
Ni 0.856 0.644 0.500
Pb 0.140 0.640 0.000
Pb 0.360 0.140 0.000
Pb 0.640 0.860 0.000
Pb 0.860 0.360 0.000

The following is a DFT calculation (PBE) of crystalline Y3HfTe at its relaxed geometry.

Properties
The offset from the most stable computed form comes out at 0.181 eV/atom. As for the crystal system: cubic.

Unit cell a=5.570 b=5.570 c=5.570 alpha=90.00 beta=90.00 gamma=90.00
Positions (direct):
Y 0.000 0.000 0.500
Y 0.000 0.500 0.000
Y 0.500 0.000 0.000
Hf 0.000 0.000 0.000
Te 0.500 0.500 0.500

The following is a DFT calculation (PBE) of crystalline KSb3Ir at its relaxed geometry.

Properties
The offset from the most stable computed form comes out at 0.000 eV/atom. As for the crystal system: cubic.

Unit cell a=5.352 b=5.352 c=5.352 alpha=90.00 beta=90.00 gamma=90.00
Positions (direct):
K 0.000 0.000 0.000
Sb 0.000 0.500 0.500
Sb 0.500 0.000 0.500
Sb 0.500 0.500 0.000
Ir 0.500 0.500 0.500

The following is a DFT calculation (PBE) of crystalline RbPd at its relaxed geometry.

Properties
As for the crystal system: orthorhombic. As for the energy of formation from the pure elements: 0.28 eV per atom.

Unit cell a=10.340 b=10.340 c=5.204 alpha=90.00 beta=90.00 gamma=155.07
Positions (direct):
Rb 0.000 0.000 0.000
Rb 0.337 0.663 0.500
Rb 0.663 0.337 0.500
Pd 0.221 0.779 0.000
Pd 0.500 0.500 0.500
Pd 0.779 0.221 0.000

The following is a DFT calculation (PBE) of crystalline CsSbPb at its relaxed geometry.

Properties
As for the total energy: -3.21 eV/atom. As for the crystal system: triclinic.

Unit cell a=4.797 b=7.223 c=8.933 alpha=101.95 beta=90.17 gamma=108.94
Positions (direct):
Cs 0.117 0.226 0.314
Cs 0.883 0.774 0.686
Sb 0.181 0.363 0.765
Sb 0.819 0.637 0.235
Pb 0.363 0.729 0.047
Pb 0.637 0.271 0.953

The following is a DFT calculation (PBE) of crystalline Ho2ZrTl at its relaxed geometry.

Properties
The offset from the most stable computed form comes out at 0.036 eV/atom. As for the crystal system: tetragonal. As for the energy of formation from the pure elements: -0.10 eV per atom.

Unit cell a=4.712 b=4.712 c=4.666 alpha=90.00 beta=90.00 gamma=90.00
Positions (direct):
Ho 0.000 0.500 0.000
Ho 0.500 0.000 0.000
Zr 0.000 0.000 0.500
Tl 0.500 0.500 0.500

The following is a DFT calculation (PBE) of crystalline TiZnCuRh2 at its relaxed geometry.

Properties
As for the crystal system: tetragonal. As for the energy of formation from the pure elements: 0.61 eV per atom.

Unit cell a=4.537 b=4.537 c=4.217 alpha=90.00 beta=90.00 gamma=90.00
Positions (direct):
Ti 0.000 0.000 0.000
Zn 0.500 0.500 0.500
Cu 0.500 0.500 0.000
Rh 0.000 0.500 0.500
Rh 0.500 0.000 0.500

The following is a DFT calculation (PBE) of crystalline LaZnRh4 at its relaxed geometry.

Properties
The offset from the most stable computed form comes out at 0.000 eV/atom. As for the crystal system: cubic. As for the energy of formation from the pure elements: -0.32 eV per atom.

Unit cell a=5.312 b=5.312 c=5.312 alpha=60.00 beta=60.00 gamma=60.00
Positions (direct):
La 0.000 0.000 0.000
Zn 0.250 0.250 0.250
Rh 0.127 0.624 0.624
Rh 0.624 0.127 0.624
Rh 0.624 0.624 0.127
Rh 0.624 0.624 0.624

The following is a DFT calculation (PBE) of crystalline Y2BrN at its relaxed geometry.

Properties
As for the total energy: -6.86 eV/atom. As for the crystal system: tetragonal.

Unit cell a=6.953 b=6.953 c=6.953 alpha=127.94 beta=127.94 gamma=76.72
Positions (direct):
Y 0.036 0.625 0.911
Y 0.375 0.286 0.411
Y 0.714 0.125 0.089
Y 0.875 0.964 0.589
Br 0.250 0.750 0.500
Br 0.500 0.500 0.000
N 0.000 0.000 0.000
N 0.750 0.250 0.500

The following is a DFT calculation (PBE) of crystalline Ho6IrPb2 at its relaxed geometry.

Properties
As for the crystal system: orthorhombic. As for the energy of formation from the pure elements: -0.38 eV per atom.

Unit cell a=8.700 b=8.700 c=8.700 alpha=145.47 beta=131.61 gamma=60.80
Positions (direct):
Ho 0.092 0.352 0.740
Ho 0.225 0.000 0.225
Ho 0.388 0.648 0.740
Ho 0.612 0.352 0.260
Ho 0.775 0.000 0.775
Ho 0.908 0.648 0.260
Ir 0.000 0.500 0.500
Pb 0.325 0.825 0.500
Pb 0.675 0.175 0.500

The following is a DFT calculation (PBE) of crystalline Mg2ZrBeHg at its relaxed geometry.

Properties
As for the crystal system: tetragonal. As for the energy of formation from the pure elements: 0.64 eV per atom.

Unit cell a=5.068 b=5.068 c=4.426 alpha=90.00 beta=90.00 gamma=90.00
Positions (direct):
Mg 0.000 0.500 0.000
Mg 0.500 0.000 0.000
Zr 0.000 0.000 0.500
Be 0.500 0.500 0.500
Hg 0.500 0.500 0.000

The following is a DFT calculation (PBE) of crystalline Pm3PuGa8 at its relaxed geometry.

Properties
As for the crystal system: trigonal. As for the energy of formation from the pure elements: -0.52 eV per atom.

Unit cell a=9.711 b=9.711 c=9.711 alpha=33.39 beta=33.39 gamma=33.39
Positions (direct):
Pm 0.000 0.000 0.000
Pm 0.127 0.127 0.127
Pm 0.621 0.621 0.621
Pu 0.499 0.499 0.499
Ga 0.062 0.062 0.563
Ga 0.062 0.562 0.562
Ga 0.062 0.563 0.062
Ga 0.312 0.312 0.312
Ga 0.562 0.062 0.562
Ga 0.562 0.562 0.062
Ga 0.563 0.062 0.062
Ga 0.812 0.812 0.812

The following is a DFT calculation (PBE) of crystalline AlFe4Pt at its relaxed geometry.

Properties
The offset from the most stable computed form comes out at 0.000 eV/atom. As for the crystal system: tetragonal. As for the energy of formation from the pure elements: -0.18 eV per atom.

Unit cell a=2.969 b=2.969 c=8.626 alpha=90.00 beta=90.00 gamma=90.00
Positions (direct):
Al 0.000 0.000 0.000
Fe 0.000 0.000 0.311
Fe 0.000 0.000 0.689
Fe 0.500 0.500 0.166
Fe 0.500 0.500 0.834
Pt 0.500 0.500 0.500

The following is a DFT calculation (PBE) of crystalline Mn2SiNi at its relaxed geometry.

Properties
As for the total energy: -7.58 eV/atom. As for the crystal system: orthorhombic.

Unit cell a=3.681 b=5.047 c=5.047 alpha=30.56 beta=90.00 gamma=90.00
Positions (direct):
Mn 0.000 0.000 0.000
Mn 0.500 0.345 0.345
Si 0.000 0.748 0.748
Ni 0.500 0.608 0.608

The following is a DFT calculation (PBE) of crystalline KSrCa4 at its relaxed geometry.

Properties
As for the crystal system: cubic. As for the energy of formation from the pure elements: 0.11 eV per atom.

Unit cell a=7.509 b=7.509 c=7.509 alpha=60.00 beta=60.00 gamma=60.00
Positions (direct):
K 0.000 0.000 0.000
Sr 0.750 0.750 0.750
Ca 0.376 0.376 0.376
Ca 0.376 0.376 0.873
Ca 0.376 0.873 0.376
Ca 0.873 0.376 0.376

The following is a DFT calculation (PBE) of crystalline FeMo2HRh at its relaxed geometry.

Properties
The offset from the most stable computed form comes out at 0.000 eV/atom. As for the crystal system: tetragonal.

Unit cell a=3.934 b=3.934 c=3.755 alpha=90.00 beta=90.00 gamma=90.00
Positions (direct):
Fe 0.000 0.000 0.000
Mo 0.000 0.500 0.500
Mo 0.500 0.000 0.500
H 0.000 0.000 0.500
Rh 0.500 0.500 0.000

The following is a DFT calculation (PBE) of crystalline Cd2CF at its relaxed geometry.

Properties
The offset from the most stable computed form comes out at 0.000 eV/atom. As for the crystal system: tetragonal.

Unit cell a=6.595 b=6.595 c=6.595 alpha=132.04 beta=132.04 gamma=70.17
Positions (direct):
Cd 0.083 0.625 0.958
Cd 0.375 0.333 0.458
Cd 0.667 0.125 0.042
Cd 0.875 0.917 0.542
C 0.000 0.000 0.000
C 0.750 0.250 0.500
F 0.250 0.750 0.500
F 0.500 0.500 0.000

The following is a DFT calculation (PBE) of crystalline Nd2TlC2N6 at its relaxed geometry.

Properties
As for the total energy: -7.58 eV/atom. As for the crystal system: triclinic.

Unit cell a=5.336 b=5.514 c=6.425 alpha=112.36 beta=103.85 gamma=102.38
Positions (direct):
Nd 0.224 0.098 0.334
Nd 0.776 0.902 0.666
Tl 0.500 0.500 0.000
C 0.263 0.771 0.756
C 0.737 0.229 0.244
N 0.135 0.790 0.915
N 0.266 0.935 0.641
N 0.400 0.581 0.700
N 0.600 0.419 0.300
N 0.734 0.065 0.359
N 0.865 0.210 0.085

The following is a DFT calculation (PBE) of crystalline Ba2YPC at its relaxed geometry.

Properties
As for the crystal system: tetragonal. As for the energy of formation from the pure elements: 1.26 eV per atom.

Unit cell a=6.655 b=6.655 c=5.113 alpha=90.00 beta=90.00 gamma=90.00
Positions (direct):
Ba 0.000 0.500 0.000
Ba 0.500 0.000 0.000
Y 0.000 0.000 0.000
P 0.000 0.000 0.500
C 0.500 0.500 0.500